# 1
Density functional theory data (PBE-GGA) for a relaxed IrCCl2 crystal.

Values from the calculation:
Polymorph energy (0 for the lowest one) in eV per atom: 0.000
Density of states at the Fermi level in states/eV/cell: 11.0
Total magnetization in μB/f.u.: 0.05

Lattice parameters (Å, degrees): 9.194 9.194 3.841 90.00 90.00 90.00
Space group I-42d (No. 122)
Asymmetric unit:
Ir: 0.000 0.000 0.000 (multiplicity 4)
C: 0.000 0.000 0.500 (multiplicity 4)
Cl: 0.090 0.250 0.125 (multiplicity 8)

***

# 2
Density functional theory data (PBE-GGA) for a relaxed HoSc3Cd4 crystal.

Values from the calculation:
E_form in eV/atom: -0.2917
Density of states at the Fermi level in states/eV/cell: 7.6
Total magnetization in μB/f.u.: 0.00

Lattice parameters (Å, degrees): 5.044 5.044 7.255 90.00 90.00 90.00
Space group P4/mmm (No. 123)
Asymmetric unit:
Ho: 0.000 0.000 0.000 (multiplicity 1)
Sc: 0.000 0.000 0.500 (multiplicity 1)
Sc: 0.500 0.500 0.000 (multiplicity 1)
Sc: 0.500 0.500 0.500 (multiplicity 1)
Cd: 0.000 0.500 0.261 (multiplicity 4)

***

# 3
Density functional theory data (PBE-GGA) for a relaxed La5PrHo2Th crystal.

Values from the calculation:
E_form in eV/atom: 0.1311
Density of states at the Fermi level in states/eV/cell: 52.7
Total magnetization in μB/f.u.: 0.00

Lattice parameters (Å, degrees): 5.533 21.950 10.678 90.00 90.00 90.00
Space group Cmc2_1 (No. 36)
Asymmetric unit:
La: 0.000 0.000 0.000 (multiplicity 4)
La: 0.000 0.127 0.250 (multiplicity 4)
La: 0.000 0.223 0.557 (multiplicity 4)
La: 0.000 0.224 0.941 (multiplicity 4)
La: 0.000 0.496 0.750 (multiplicity 4)
Pr: 0.000 0.101 0.750 (multiplicity 4)
Ho: 0.000 0.387 0.009 (multiplicity 4)
Ho: 0.000 0.387 0.491 (multiplicity 4)
Th: 0.000 0.284 0.249 (multiplicity 4)

***

# 4
Density functional theory data (PBE-GGA) for a relaxed CuSeCl2 crystal.

Values from the calculation:
Polymorph energy (0 for the lowest one) in eV per atom: 0.342
Density of states at the Fermi level in states/eV/cell: 7.5
Total magnetization in μB/f.u.: 1.74

Lattice parameters (Å, degrees): 12.854 3.023 7.403 90.00 124.78 90.00
Space group C2/m (No. 12)
Asymmetric unit:
Cu: 0.000 0.000 0.000 (multiplicity 2)
Se: 0.000 0.500 0.500 (multiplicity 2)
Cl: 0.156 0.500 0.155 (multiplicity 4)

***

# 5
Density functional theory data (PBE-GGA) for a relaxed Er2BPd4Pt2 crystal.

Values from the calculation:
E_form in eV/atom: -0.9498
Density of states at the Fermi level in states/eV/cell: 9.6
Total magnetization in μB/f.u.: 0.00

Lattice parameters (Å, degrees): 5.915 5.915 8.419 90.00 90.00 90.00
Space group I4/mmm (No. 139)
Asymmetric unit:
Er: 0.000 0.500 0.250 (multiplicity 4)
B: 0.000 0.000 0.000 (multiplicity 2)
Pd: 0.241 0.241 0.500 (multiplicity 8)
Pt: 0.000 0.000 0.250 (multiplicity 4)

***

# 6
Density functional theory data (PBE-GGA) for a relaxed UTl2CuSe5 crystal.

Values from the calculation:
Uncorrected energy in eV/atom: -4.7442
Density of states at the Fermi level in states/eV/cell: 22.9
Total magnetization in μB/f.u.: 0.55

Lattice parameters (Å, degrees): 4.086 18.443 13.809 90.00 90.00 90.00
Space group Cmc2_1 (No. 36)
Asymmetric unit:
U: 0.000 0.204 0.000 (multiplicity 4)
Tl: 0.000 0.072 0.620 (multiplicity 4)
Tl: 0.000 0.107 0.312 (multiplicity 4)
Cu: 0.000 0.414 0.392 (multiplicity 4)
Se: 0.000 0.058 0.982 (multiplicity 4)
Se: 0.000 0.285 0.365 (multiplicity 4)
Se: 0.000 0.300 0.632 (multiplicity 4)
Se: 0.000 0.351 0.995 (multiplicity 4)
Se: 0.000 0.483 0.246 (multiplicity 4)

***

# 7
Density functional theory data (PBE-GGA) for a relaxed SmInSn2Cl8 crystal.

Values from the calculation:
Uncorrected energy in eV/atom: -3.9053
Density of states at the Fermi level in states/eV/cell: 0.0
Total magnetization in μB/f.u.: 0.00

Lattice parameters (Å, degrees): 6.509 6.895 9.031 87.00 87.90 88.51
Space group P-1 (No. 2)
Asymmetric unit:
Sm: 0.000 0.000 0.000 (multiplicity 1)
In: 0.000 0.000 0.500 (multiplicity 1)
Sn: 0.496 0.489 0.748 (multiplicity 2)
Cl: 0.217 0.819 0.783 (multiplicity 2)
Cl: 0.249 0.316 0.966 (multiplicity 2)
Cl: 0.249 0.855 0.218 (multiplicity 2)
Cl: 0.283 0.356 0.543 (multiplicity 2)

***

# 8
Density functional theory data (PBE-GGA) for a relaxed Pm2AuO5 crystal.

Values from the calculation:
Uncorrected energy in eV/atom: -6.7973
Total magnetization in μB/f.u.: 1.04

Lattice parameters (Å, degrees): 11.907 5.809 6.674 90.00 98.09 90.00
Space group C2/c (No. 15)
Asymmetric unit:
Pm: 0.096 0.244 0.064 (multiplicity 8)
Au: 0.250 0.250 0.500 (multiplicity 4)
O: 0.000 0.055 0.750 (multiplicity 4)
O: 0.092 0.387 0.409 (multiplicity 8)
O: 0.211 0.048 0.853 (multiplicity 8)